1.
# Ba6Mg15Cd8

A relaxed structure of Ba6Mg15Cd8 (PBE, Alexandria via LeMat-Bulk).

Formation enthalpy at 0 K ... -15.5 kJ/mol of atoms

POSCAR file:
```
Ba6Mg15Cd8
1.0
0.000 7.554 7.554
7.554 0.000 7.554
7.554 7.554 0.000
Ba Mg Cd
6 15 8
Cartesian
7.554 7.554 3.335
7.554 3.335 7.554
11.774 7.554 7.554
3.335 7.554 7.554
7.554 11.774 7.554
7.554 7.554 11.774
3.777 3.777 0.000
3.777 0.000 3.777
7.554 3.777 3.777
2.652 2.652 2.652
4.902 4.902 2.652
4.902 2.652 4.902
2.652 4.902 4.902
0.000 3.777 3.777
3.777 7.554 3.777
3.777 3.777 7.554
7.554 7.554 7.554
12.456 10.207 10.207
10.207 12.456 10.207
10.207 10.207 12.456
12.456 12.456 12.456
9.470 5.639 5.639
5.639 5.639 5.639
9.470 9.470 5.639
9.470 5.639 9.470
5.639 9.470 5.639
5.639 5.639 9.470
9.470 9.470 9.470
5.639 9.470 9.470
```

2.
# Ba6MgCd3

A relaxed structure of Ba6MgCd3 (PBE, Alexandria via LeMat-Bulk).

Formation enthalpy at 0 K ... -16.1 kJ/mol of atoms

POSCAR file:
```
Ba6MgCd3
1.0
10.896 0.000 0.000
0.000 6.088 0.000
-3.926 0.000 13.123
Ba Mg Cd
12 2 6
Cartesian
-1.431 1.522 5.163
0.720 4.566 2.429
-1.274 1.522 13.116
0.410 4.566 10.850
2.855 1.522 4.316
1.747 1.522 8.020
5.224 4.566 5.103
4.116 4.566 8.807
6.560 1.522 2.273
8.244 4.566 0.007
6.251 1.522 10.694
8.401 4.566 7.960
4.448 4.566 1.537
2.522 1.522 11.586
-3.042 4.566 11.730
-1.319 1.522 9.558
1.391 4.566 6.098
5.579 1.522 7.025
8.289 4.566 3.565
10.012 1.522 1.393
```

3.
# BaMg2Cd

A relaxed structure of BaMg2Cd (PBE, Alexandria via LeMat-Bulk).

Formation enthalpy at 0 K ... -0.8 kJ/mol of atoms

POSCAR file:
```
BaMg2Cd
1.0
4.946 0.000 0.000
0.000 4.946 0.000
0.000 0.000 5.316
Ba Mg Cd
1 2 1
Cartesian
0.000 0.000 0.000
0.000 2.473 2.658
2.473 0.000 2.658
2.473 2.473 0.000
```

4.
# BaMg2Cd

A relaxed structure of BaMg2Cd (PBE, Alexandria via LeMat-Bulk).

Formation enthalpy at 0 K ... -11.8 kJ/mol of atoms

POSCAR file:
```
BaMg2Cd
1.0
4.674 0.000 0.000
0.000 4.674 0.000
0.000 0.000 11.846
Ba Mg Cd
2 4 2
Cartesian
1.169 1.169 2.752
3.506 3.506 9.094
1.169 1.169 10.982
1.169 3.506 5.923
3.506 1.169 5.923
3.506 3.506 0.864
1.169 1.169 7.811
3.506 3.506 4.035
```

5.
# Ba2Mg2Cd7

A relaxed structure of Ba2Mg2Cd7 (PBE, Alexandria via LeMat-Bulk).

Formation enthalpy at 0 K ... -18.4 kJ/mol of atoms

POSCAR file:
```
Ba2Mg2Cd7
1.0
5.775 -5.001 0.000
5.775 5.001 0.000
-3.161 0.000 5.395
Ba Mg Cd
2 2 7
Cartesian
5.775 2.857 0.000
5.775 -2.857 0.000
1.674 0.000 2.998
6.716 0.000 2.397
-1.581 0.000 2.698
2.816 2.510 1.881
3.398 0.000 0.280
5.574 2.510 3.514
2.816 -2.510 1.881
4.992 0.000 5.115
5.574 -2.510 3.514
```

6.
# Ba2MgCd2

A relaxed structure of Ba2MgCd2 (PBE, Alexandria via LeMat-Bulk).

Formation enthalpy at 0 K ... -6.7 kJ/mol of atoms
Relative energy among the computed polymorphs ... 170 meV/atom

POSCAR file:
```
Ba2MgCd2
1.0
4.393 0.000 0.000
0.000 4.393 0.000
0.000 0.000 20.496
Ba Mg Cd
4 2 4
Cartesian
0.000 0.000 2.198
0.000 0.000 18.299
2.196 2.196 8.051
2.196 2.196 12.446
0.000 0.000 10.248
2.196 2.196 0.000
0.000 2.196 5.124
0.000 2.196 15.372
2.196 0.000 5.124
2.196 0.000 15.372
```

7.
# BaMg2Cd9

A relaxed structure of BaMg2Cd9 (PBE, Alexandria via LeMat-Bulk).

Formation enthalpy at 0 K ... -19.0 kJ/mol of atoms
Relative energy among the computed polymorphs ... 0 meV/atom

POSCAR file:
```
BaMg2Cd9
1.0
-6.076 6.076 3.942
6.076 -6.076 3.942
6.076 6.076 -3.942
Ba Mg Cd
2 4 18
Cartesian
6.076 3.038 0.985
0.000 3.038 2.956
0.000 0.000 0.000
3.038 3.038 -1.971
3.038 -3.038 1.971
0.000 6.076 0.000
6.076 -3.038 2.956
4.600 -0.539 1.409
7.553 -0.539 1.409
2.499 1.562 0.562
9.654 1.562 0.562
4.600 5.537 -1.409
1.477 -0.539 2.533
2.499 4.515 0.562
3.577 -1.562 4.504
2.499 7.638 -0.562
3.577 1.562 3.379
4.600 6.616 1.409
1.477 0.539 5.350
-3.577 4.515 3.379
3.577 4.515 3.379
-1.477 6.616 2.533
1.477 6.616 2.533
0.000 9.115 0.985
```

8.
# BaMg9Cd2

A relaxed structure of BaMg9Cd2 (PBE, Alexandria via LeMat-Bulk).

Formation enthalpy at 0 K ... -4.9 kJ/mol of atoms
Relative energy among the computed polymorphs ... 79 meV/atom

POSCAR file:
```
BaMg9Cd2
1.0
10.089 0.000 0.000
-5.045 8.738 0.000
0.000 0.000 3.422
Ba Mg Cd
1 9 2
Cartesian
0.000 0.000 0.000
-2.522 4.369 0.000
0.000 3.293 1.711
-2.193 7.091 1.711
2.852 1.647 1.711
5.045 0.000 0.000
2.522 4.369 0.000
2.193 7.091 1.711
7.238 1.647 1.711
5.045 5.445 1.711
0.000 5.825 0.000
5.045 2.913 0.000
```